Run w
The following is a DFT calculation (PBE) of a geometry-optimized La3Pm7Nd2 structure.

The structure in extended XYZ format:
```
12
Lattice="6.5419 0.0000 0.0000 0.0000 3.6196 0.0000 -1.9882 0.0000 17.9821" Properties=species:S:1:pos:R:3 pbc="T T T"
La 0.0000 0.0000 0.0000
La -1.0157 1.8098 11.8927
La 5.5693 1.8098 6.0894
Pm 1.1729 1.8098 2.9884
Pm 0.6097 0.0000 8.9831
Pm 0.1337 0.0000 14.9904
Pm 3.2709 1.8098 0.0000
Pm 4.4199 0.0000 2.9917
Pm 3.9439 0.0000 8.9989
Pm 3.3808 1.8098 14.9937
Nd 2.2770 0.0000 5.9154
Nd 2.2766 0.0000 12.0666
```

theoretical density	6.708	g cm⁻³
DOS at the Fermi energy	19.36	states/eV/cell
calculated volume	425.8	Å³ per cell
spin magnetization	0.00	μB/cell

***

Run x
The following is a DFT calculation (PBE) of a geometry-optimized La3Pm7Nd2 structure.

The structure in extended XYZ format:
```
12
Lattice="2.9537 -19.7112 0.0000 2.9537 19.7112 0.0000 0.0000 0.0000 3.6792" Properties=species:S:1:pos:R:3 pbc="T T T"
La 0.0000 0.0000 0.0000
La 2.9537 12.4353 0.0000
La 2.9537 -12.4353 0.0000
Pm 2.9537 16.1204 1.8396
Pm 2.9537 9.0902 1.8396
Pm 2.9537 2.8424 0.0000
Pm 2.9537 0.0000 1.8396
Pm 2.9537 -2.8424 0.0000
Pm 2.9537 -9.0902 1.8396
Pm 2.9537 -16.1204 1.8396
Nd 2.9537 5.8053 1.8396
Nd 2.9537 -5.8053 1.8396
```

theoretical density	6.667	g cm⁻³
DOS at the Fermi energy	18.15	states/eV/cell
calculated volume	428.4	Å³ per cell
spin magnetization	0.00	μB/cell

***

Pick run w: it beats the second-best structure by 1.6 kJ/mol of atoms.

***

Run w
The following is a DFT calculation (PBE) of a geometry-optimized La5PmNd5 structure.

The structure in extended XYZ format:
```
11
Lattice="9.6305 -3.1046 0.0000 9.6305 3.1046 0.0000 -2.4948 0.0000 6.7283" Properties=species:S:1:pos:R:3 pbc="T T T"
La 0.0000 0.0000 0.0000
La 4.8031 0.0000 3.9333
La 6.1080 0.0000 0.4800
La 10.6582 0.0000 6.2484
La 11.9632 0.0000 2.7950
Pm 9.6305 0.0000 0.0000
Nd 0.8288 0.0000 4.2677
Nd 2.8181 0.0000 1.1977
Nd 8.3831 0.0000 3.3642
Nd 13.9481 0.0000 5.5306
Nd 15.9374 0.0000 2.4606
```

theoretical density	6.441	g cm⁻³
DOS at the Fermi energy	19.16	states/eV/cell
calculated volume	402.3	Å³ per cell
spin magnetization	0.00	μB/cell

***

Run x
The following is a DFT calculation (PBE) of a geometry-optimized La5PmNd5 structure.

The structure in extended XYZ format:
```
11
Lattice="6.9702 0.0000 0.0000 -3.4294 7.2639 0.0000 -1.5010 -2.3627 7.9511" Properties=species:S:1:pos:R:3 pbc="T T T"
La 0.0000 0.0000 0.0000
La -3.1378 5.0251 2.8418
La -1.3288 3.7140 6.0354
La 3.3685 1.1872 1.9156
La 5.1776 -0.1239 5.1093
Pm 1.7704 3.6320 0.0000
Nd -1.7147 3.6320 0.0000
Nd -0.1021 1.7932 2.8478
Nd 1.7779 -0.2581 5.2171
Nd 0.2618 5.1593 2.7339
Nd 2.1418 3.1080 5.1033
```

theoretical density	6.438	g cm⁻³
DOS at the Fermi energy	16.30	states/eV/cell
calculated volume	402.6	Å³ per cell
spin magnetization	0.00	μB/cell

***

Pick run x: it beats the second-best structure by 5.3 kJ/mol of atoms.

***

Run w
The following is a DFT calculation (PBE) of a geometry-optimized La7Pm2Nd structure.

The structure in extended XYZ format:
```
10
Lattice="6.1195 -8.6579 0.0000 6.1195 8.6579 0.0000 0.0000 0.0000 3.5694" Properties=species:S:1:pos:R:3 pbc="T T T"
La 0.0000 0.0000 0.0000
La 2.9814 2.2573 0.0000
La 6.1195 5.5495 1.7847
La 2.9814 -2.2573 0.0000
La 9.2576 2.2573 0.0000
La 6.1195 -5.5495 1.7847
La 9.2576 -2.2573 0.0000
Pm 6.1195 2.9150 0.0000
Pm 6.1195 -2.9150 0.0000
Nd 6.1195 0.0000 1.7847
```

theoretical density	6.175	g cm⁻³
DOS at the Fermi energy	16.65	states/eV/cell
calculated volume	378.2	Å³ per cell
spin magnetization	0.00	μB/cell

***

Run x
The following is a DFT calculation (PBE) of a geometry-optimized La7Pm2Nd structure.

The structure in extended XYZ format:
```
10
Lattice="4.5317 -8.1298 0.0000 4.5317 8.1298 0.0000 0.0000 0.0000 5.6729" Properties=species:S:1:pos:R:3 pbc="T T T"
La 0.0000 0.0000 0.0000
La 2.8397 1.8659 0.0000
La 4.5317 3.9388 2.8365
La 2.8397 -1.8659 0.0000
La 6.2237 1.8659 0.0000
La 4.5317 -3.9388 2.8365
La 6.2237 -1.8659 0.0000
Pm 4.5317 4.8696 0.0000
Pm 4.5317 -4.8696 0.0000
Nd 4.5317 0.0000 2.8365
```

theoretical density	5.588	g cm⁻³
DOS at the Fermi energy	17.75	states/eV/cell
calculated volume	418.0	Å³ per cell
spin magnetization	0.39	μB/cell

***

Pick run w: it beats the second-best structure by 23.5 kJ/mol of atoms.

***

Run w
The following is a DFT calculation (PBE) of a geometry-optimized La4PmNd4 structure.

The structure in extended XYZ format:
```
9
Lattice="8.9026 -2.6360 0.0000 8.9026 2.6360 0.0000 -0.0930 0.0000 7.2249" Properties=species:S:1:pos:R:3 pbc="T T T"
La 1.4718 0.0000 2.5730
La 5.2267 0.0000 6.3278
La 12.4857 0.0000 0.8971
La 16.2405 0.0000 4.6519
Pm 8.9026 0.0000 0.0000
Nd 1.8260 0.0000 6.3357
Nd 5.3668 0.0000 2.7212
Nd 12.3455 0.0000 4.5037
Nd 15.8863 0.0000 0.8892
```

theoretical density	6.256	g cm⁻³
DOS at the Fermi energy	14.79	states/eV/cell
calculated volume	339.1	Å³ per cell
spin magnetization	0.00	μB/cell

***

Run x
The following is a DFT calculation (PBE) of a geometry-optimized La4PmNd4 structure.

The structure in extended XYZ format:
```
9
Lattice="-5.5459 5.5459 2.6293 5.5459 -5.5459 2.6293 5.5459 5.5459 -2.6293" Properties=species:S:1:pos:R:3 pbc="T T T"
La 1.8486 1.8486 0.0000
La 3.6973 -3.6973 2.6293
La -3.6973 3.6973 2.6293
La 3.6973 3.6973 2.6293
Pm 0.0000 0.0000 2.6293
Nd 5.5459 1.8401 0.0000
Nd 1.8401 5.5459 0.0000
Nd 3.7058 0.0000 2.6293
Nd 0.0000 3.7058 2.6293
```

theoretical density	6.558	g cm⁻³
DOS at the Fermi energy	16.82	states/eV/cell
calculated volume	323.5	Å³ per cell
spin magnetization	0.00	μB/cell

***

Pick run x: it beats the second-best structure by 15.2 kJ/mol of atoms.

***

Run w
The following is a DFT calculation (PBE) of a geometry-optimized LaPm3Nd7 structure.

The structure in extended XYZ format:
```
11
Lattice="-3.0146 5.7266 5.7531 3.0146 -5.7266 5.7531 3.0146 5.7266 -5.7531" Properties=species:S:1:pos:R:3 pbc="T T T"
La 0.0000 0.0000 0.0000
Pm 3.0146 0.0000 3.3731
Pm 0.0000 0.0000 5.7531
Pm 0.0000 5.7266 2.3800
Nd 3.0146 0.0000 0.0000
Nd 3.0146 3.3948 -2.2970
Nd 0.0000 3.3520 0.0000
Nd 3.0146 3.3948 2.2970
Nd 0.0000 2.3318 3.4561
Nd 0.0000 8.1013 0.0000
Nd 0.0000 2.3318 8.0501
```

theoretical density	6.619	g cm⁻³
DOS at the Fermi energy	16.03	states/eV/cell
calculated volume	397.3	Å³ per cell
spin magnetization	0.25	μB/cell

***

Run x
The following is a DFT calculation (PBE) of a geometry-optimized LaPm3Nd7 structure.

The structure in extended XYZ format:
```
11
Lattice="5.9839 -5.1482 0.0000 5.9839 5.1482 0.0000 -0.6518 0.0000 6.5071" Properties=species:S:1:pos:R:3 pbc="T T T"
La 0.0000 0.0000 0.0000
Pm 5.6581 1.7686 3.2536
Pm 5.9839 0.0000 0.0000
Pm 5.6581 -1.7686 3.2536
Nd -0.3259 0.0000 3.2536
Nd 2.4877 1.7995 4.9481
Nd 2.9733 0.0000 1.8832
Nd 2.4877 -1.7995 4.9481
Nd 8.8284 1.7995 1.5590
Nd 8.3428 0.0000 4.6240
Nd 8.8284 -1.7995 1.5590
```

theoretical density	6.559	g cm⁻³
DOS at the Fermi energy	15.13	states/eV/cell
calculated volume	400.9	Å³ per cell
spin magnetization	0.00	μB/cell

***

Pick run x: it beats the second-best structure by 0.6 kJ/mol of atoms.

***

Run w
The following is a DFT calculation (PBE) of a geometry-optimized La3Pm5Nd4 structure.

The structure in extended XYZ format:
```
12
Lattice="6.3855 0.0000 0.0000 0.0119 7.3601 0.0000 0.0117 0.0038 9.0483" Properties=species:S:1:pos:R:3 pbc="T T T"
La 0.0000 0.0000 0.0000
La 1.0723 1.8393 3.0076
La 5.3368 5.5245 6.0407
Pm 0.0060 3.6800 0.0000
Pm 2.1419 0.0062 6.0379
Pm 3.2042 5.5195 9.0479
Pm 3.2049 1.8443 0.0004
Pm 4.2673 7.3576 3.0103
Nd 1.0864 5.5202 3.0148
Nd 2.1360 3.6823 6.0403
Nd 4.2731 3.6815 3.0080
Nd 5.3227 1.8436 6.0335
```

theoretical density	6.711	g cm⁻³
DOS at the Fermi energy	20.57	states/eV/cell
calculated volume	425.2	Å³ per cell
spin magnetization	0.00	μB/cell

***

Run x
The following is a DFT calculation (PBE) of a geometry-optimized La3Pm5Nd4 structure.

The structure in extended XYZ format:
```
12
Lattice="8.2588 -3.0554 0.0000 8.2588 3.0554 0.0000 -4.1967 0.0000 8.5453" Properties=species:S:1:pos:R:3 pbc="T T T"
La 0.0000 0.0000 0.0000
La 1.5817 0.0000 6.6660
La 10.7392 0.0000 1.8794
Pm -1.7147 0.0000 5.9663
Pm 1.1991 0.0000 3.3665
Pm 8.2588 0.0000 0.0000
Pm 11.1218 0.0000 5.1788
Pm 14.0356 0.0000 2.5790
Nd 4.2882 0.0000 1.0824
Nd 4.5579 0.0000 4.7886
Nd 7.7630 0.0000 3.7568
Nd 8.0327 0.0000 7.4629
```

theoretical density	6.617	g cm⁻³
DOS at the Fermi energy	20.14	states/eV/cell
calculated volume	431.3	Å³ per cell
spin magnetization	0.23	μB/cell

***

Pick run w: it beats the second-best structure by 17.7 kJ/mol of atoms.

***

Run w
The following is a DFT calculation (PBE) of a geometry-optimized La3Pm2Nd5 structure.

The structure in extended XYZ format:
```
20
Lattice="-6.1791 8.7589 3.3373 6.1791 -8.7589 3.3373 6.1791 8.7589 -3.3373" Properties=species:S:1:pos:R:3 pbc="T T T"
La 7.2021 2.9645 0.0000
La 0.0000 0.0000 1.6687
La 1.0231 5.7944 0.0000
La 5.1560 2.9645 3.3373
La 0.0000 0.0000 5.0060
La -1.0231 5.7944 3.3373
Pm 5.0496 -5.8125 3.3373
Pm 5.0496 5.8125 0.0000
Pm 1.1295 2.9464 3.3373
Pm 1.1295 14.5714 0.0000
Nd 3.0019 2.9486 0.0000
Nd 3.0983 0.0000 1.6687
Nd 6.1791 0.0000 1.6687
Nd 9.2598 0.0000 1.6687
Nd 3.0019 -2.9486 3.3373
Nd 3.1772 11.7075 0.0000
Nd -3.0807 8.7589 1.6687
Nd 0.0000 8.7589 1.6687
Nd 3.0807 8.7589 1.6687
Nd 3.1772 5.8104 3.3373
```

theoretical density	6.564	g cm⁻³
DOS at the Fermi energy	31.42	states/eV/cell
calculated volume	722.5	Å³ per cell
spin magnetization	0.00	μB/cell

***

Run x
The following is a DFT calculation (PBE) of a geometry-optimized La3Pm2Nd5 structure.

The structure in extended XYZ format:
```
20
Lattice="5.6131 -7.4668 0.0000 5.6131 7.4668 0.0000 -5.5610 0.0000 8.5454" Properties=species:S:1:pos:R:3 pbc="T T T"
La 1.3846 1.8742 0.4939
La 1.4424 4.0864 6.4091
La -1.3958 -1.8742 4.7666
La 7.0611 1.8742 3.7788
La 4.2229 -4.0864 2.1364
La 4.2806 -1.8742 8.0515
Pm 1.3833 1.8477 3.8283
Pm -1.3972 -1.8477 8.1010
Pm 7.0625 1.8477 0.4445
Pm 4.2820 -1.8477 4.7172
Nd 1.4424 7.2416 6.4091
Nd -1.3344 1.8344 6.5521
Nd 4.2229 3.4646 2.1364
Nd 1.4461 -1.8344 2.2794
Nd 4.2229 0.3639 2.1364
Nd 1.4424 -0.3639 6.4091
Nd 4.2192 1.8344 6.2660
Nd 1.4424 -3.4646 6.4091
Nd 6.9997 -1.8344 1.9933
Nd 4.2229 -7.2416 2.1364
```

theoretical density	6.620	g cm⁻³
DOS at the Fermi energy	34.90	states/eV/cell
calculated volume	716.3	Å³ per cell
spin magnetization	0.00	μB/cell

***

Pick run x: it beats the second-best structure by 7.9 kJ/mol of atoms.

***

Run w
The following is a DFT calculation (PBE) of a geometry-optimized La3Pm7Nd structure.

The structure in extended XYZ format:
```
11
Lattice="-3.0097 5.7386 5.7566 3.0097 -5.7386 5.7566 3.0097 5.7386 -5.7566" Properties=species:S:1:pos:R:3 pbc="T T T"
La 0.0000 0.0000 0.0000
La 3.0097 2.4294 0.0000
La 0.0000 3.3091 5.7566
Pm 3.0097 3.4411 -3.4195
Pm 3.0097 0.0000 2.3841
Pm 0.0000 2.2974 2.3370
Pm 0.0000 0.0000 5.7566
Pm 3.0097 3.4411 3.4195
Pm 0.0000 5.7386 3.3724
Pm 0.0000 2.2974 9.1761
Nd 0.0000 5.7386 0.0000
```

theoretical density	6.580	g cm⁻³
DOS at the Fermi energy	17.29	states/eV/cell
calculated volume	397.7	Å³ per cell
spin magnetization	0.00	μB/cell

***

Run x
The following is a DFT calculation (PBE) of a geometry-optimized La3Pm7Nd structure.

The structure in extended XYZ format:
```
11
Lattice="5.9662 -5.1510 0.0000 5.9662 5.1510 0.0000 -0.5662 0.0000 6.5105" Properties=species:S:1:pos:R:3 pbc="T T T"
La 0.0000 0.0000 0.0000
La 5.6832 3.3426 3.2553
La 5.6832 -3.3426 3.2553
Pm 2.9242 1.7766 1.5544
Pm 2.4307 0.0000 4.6296
Pm 2.9242 -1.7766 1.5544
Pm 5.6832 0.0000 3.2553
Pm 8.4421 1.7766 4.9561
Pm 8.9356 0.0000 1.8809
Pm 8.4421 -1.7766 4.9561
Nd 5.9662 0.0000 0.0000
```

theoretical density	6.540	g cm⁻³
DOS at the Fermi energy	16.11	states/eV/cell
calculated volume	400.2	Å³ per cell
spin magnetization	0.00	μB/cell

***

Pick run x: it beats the second-best structure by 1.8 kJ/mol of atoms.